A plane-wave DFT calculation with GGA+U was carried out for a relaxed structure of Sm2MnCdO5.

The structure in POSCAR format:
```
Sm2MnCdO5
1.0
-5.2047 2.3589 -0.1493
-1.5824 -3.8265 -5.2975
-2.2861 -4.7820 4.1370
Cd O Mn Sm
2 10 2 4
Cartesian
-1.9342 -4.3043 -0.5802
0.0000 0.0000 0.0000
-6.1291 -3.2868 -3.1860
-4.8073 -0.2637 -1.4974
-5.5831 -1.7666 1.8006
-6.9049 -4.7897 0.1120
-2.6023 1.1795 -0.0746
-2.1682 -1.4598 -1.4217
-4.2657 -5.9859 0.1877
-2.9440 -2.9628 1.8763
-4.5365 -3.1248 -0.6549
-3.4900 -4.4830 -3.1103
-1.1430 -2.3910 2.0685
-0.7912 -1.9132 -2.6487
-3.6204 -1.0419 0.3188
-5.4527 -5.2077 -1.6285
-4.9927 -3.9874 1.6197
-4.0803 -2.2622 -2.9294
```

Results
Its magnetic moment is 3.7 μB/f.u. As for the uncorrected energy: -6.986 eV per atom.